No. 1
Sc2InHg9 GGA-PBE relaxed; SG = P4/mmm; final energy = -19.5 eV per cell
1.0
4.525 0.000 0.000
0.000 4.525 0.000
0.000 0.000 13.731
Sc In Hg
2 1 9
direct
0.000 0.000 0.335
0.000 0.000 0.665
0.000 0.000 0.000
0.500 0.500 0.000
0.500 0.500 0.344
0.500 0.500 0.656
0.500 0.000 0.178
0.500 0.000 0.500
0.500 0.000 0.822
0.000 0.500 0.178
0.000 0.500 0.500
0.000 0.500 0.822

No. 2
Dy2HfTaN4 GGA-PBE relaxed; raw formation energy = -36.54 kcal/mol of atoms; SG = P2/m
1.0
-1.641 -0.492 2.784
-0.658 -5.471 -1.355
4.887 0.631 2.993
Dy Hf Ta N
2 1 1 4
direct
0.500 0.000 0.500
0.000 0.500 0.500
0.500 0.500 0.000
0.000 0.000 0.000
0.500 0.238 0.222
0.500 0.762 0.778
0.000 0.257 0.776
0.000 0.743 0.224

No. 3
As2PbSe2 GGA-PBE relaxed; raw formation energy = 0.36 kcal/mol of atoms; SG = P4/mbm
1.0
8.769 0.000 0.000
0.000 8.769 0.000
0.000 0.000 3.540
Pb As Se
2 4 4
direct
0.000 0.000 0.000
0.500 0.500 0.000
0.279 0.779 0.000
0.779 0.721 0.000
0.721 0.221 0.000
0.221 0.279 0.000
0.142 0.642 0.500
0.642 0.858 0.500
0.858 0.358 0.500
0.358 0.142 0.500

No. 4
MgZrSc5 GGA-PBE relaxed; SG = C2/c; final energy = -80.9 eV per cell
1.0
-3.713 -1.048 -7.564
-1.742 -6.315 -5.402
-9.624 -5.593 -4.851
Mg Zr Sc
2 2 10
direct
0.752 0.248 0.250
0.248 0.752 0.750
0.000 0.000 0.000
0.000 0.000 0.500
0.658 0.669 0.254
0.264 0.260 0.588
0.669 0.658 0.754
0.211 0.789 0.250
0.740 0.736 0.912
0.260 0.264 0.088
0.789 0.211 0.750
0.331 0.342 0.246
0.736 0.740 0.412
0.342 0.331 0.746

No. 5
K2GaF GGA-PBE relaxed; raw formation energy = -24.52 kcal/mol of atoms; SG = I-42d
1.0
-1.522 4.518 6.102
-7.114 -3.022 0.464
-2.746 -2.521 6.095
K Ga F
4 2 2
direct
0.515 0.125 0.250
0.235 0.625 0.250
0.375 0.485 0.750
0.875 0.765 0.750
0.000 0.000 0.000
0.750 0.250 0.500
0.500 0.500 0.000
0.250 0.750 0.500

No. 6
CaAc2OsO6 GGA-PBE relaxed; raw formation energy = -59.00 kcal/mol of atoms; SG = P2_1/c
1.0
-3.901 4.140 -1.463
-2.584 -0.527 5.401
5.175 5.783 3.040
Ca Ac Os O
2 4 2 12
direct
0.500 0.000 0.000
0.000 0.500 0.500
0.013 0.942 0.247
0.513 0.558 0.747
0.987 0.058 0.753
0.487 0.442 0.253
0.500 0.000 0.500
0.000 0.500 0.000
0.283 0.689 0.047
0.783 0.811 0.547
0.717 0.311 0.953
0.217 0.189 0.453
0.314 0.719 0.446
0.814 0.781 0.946
0.686 0.281 0.554
0.186 0.219 0.054
0.905 0.523 0.234
0.405 0.977 0.734
0.095 0.477 0.766
0.595 0.023 0.266

Looking at total magnetization for the records above, in order, we have 0.00; 0.00; 0.00; 0.00; 0.00; 2.00 μB per formula unit.
Looking at volume for the records above, in order, we have 23.42; 12.63; 27.22; 24.20; 34.40; 14.71 Å³/atom.